Entry from OQMD: an optimized crystal structure of LaAuSO (PBE).

Cell: 5.998 7.616 7.566 Å, 90.00 96.22 90.00°
Space group P2_1/c (No. 14)
Inequivalent atoms, fractional coordinates:
La  0.097  0.118  0.200 (multiplicity 4)
Au  0.489  0.741  0.515 (multiplicity 4)
S  0.453  0.073  0.722 (multiplicity 4)
O  0.017  0.672  0.591 (multiplicity 4)

Raw total energy   -6.08 eV per atom